16
Lattice="-1.207 -4.179 -0.519 1.564 -1.342 7.167 -14.044 3.591 3.737" Properties=species:S:1:pos:R:3 comment="Ce2GeTe | the Alexandria database | PBE | optimized geometry" e_tot_ev_per_atom=-5.764 polymorph_energy_mev_per_atom=223 pbc="T T T"
Ge -7.917 -2.203 8.414
Ce -6.201 -0.244 7.137
Ce -7.486 -1.686 3.248
Ge -0.807 -1.467 4.443
Ce -2.415 -1.303 6.860
Ce -10.345 -1.335 7.071
Ce 0.214 -4.126 4.991
Te -2.760 -2.751 0.833
Ce -3.341 -0.595 3.315
Ce -13.901 2.195 5.394
Te -4.989 -2.652 5.218
Ge -5.770 0.273 1.972
Te -10.927 0.820 9.553
Ce -11.272 -0.627 3.526
Ge -12.880 -0.463 5.943
Te -8.697 0.721 5.168


14
Lattice="7.974 0.600 0.534 0.024 7.996 -0.534 -3.488 -4.773 7.650" Properties=species:S:1:pos:R:3 comment="CaLa4Ir2 | the Alexandria database | PBE | optimized geometry" e_tot_ev_per_atom=-5.992 polymorph_energy_mev_per_atom=85 formation_enthalpy_0k_ev_per_fu=-2.51 pbc="T T T"
Ca 1.169 1.257 0.000
Ir 2.376 -0.206 5.871
La 0.489 -2.275 5.982
La 0.161 1.526 6.637
Ir 4.121 2.180 2.046
Ca -0.902 2.504 3.558
La 6.036 0.214 2.426
La 2.205 4.146 1.668
Ir -1.611 -0.506 5.604
La 6.020 4.093 1.013
Ir 4.133 6.178 1.779
La 2.221 0.267 3.079
La 4.592 -1.938 5.106
La 4.264 1.863 5.758


10
Lattice="-0.978 -2.151 3.984 6.936 -7.398 -2.292 5.875 5.050 1.477" Properties=species:S:1:pos:R:3 comment="BaInSn3 | the Alexandria database | PBE | optimized geometry" e_tot_ev_per_atom=-3.575 polymorph_energy_mev_per_atom=100 formation_enthalpy_0k_ev_per_fu=-1.20 pbc="T T T"
Sn 7.284 -4.012 -0.378
In 5.393 -6.122 0.711
In 6.439 1.623 2.458
Ba 3.036 -0.889 0.266
Sn 4.548 -0.488 3.547
Ba 8.796 -3.611 2.903
Sn 6.866 -1.170 1.054
Sn 3.422 2.504 2.192
Sn 8.411 -7.004 0.976
Sn 4.966 -3.330 2.115


4
Lattice="-3.603 0.040 -3.988 3.165 -1.823 -3.944 -1.763 -1.909 4.705" Properties=species:S:1:pos:R:3 comment="KZr2Tc | the Alexandria database | PBE | optimized geometry" e_tot_ev_per_atom=-6.471 polymorph_energy_mev_per_atom=533 formation_enthalpy_0k_ev_per_fu=2.68 pbc="T T T"
Tc 0.591 -2.312 -1.602
K -2.792 -1.380 -1.625
Zr -0.199 -0.809 -3.599
Zr -0.020 -0.082 -0.367


12
Lattice="5.845 0.750 0.000 -1.920 5.571 0.000 -1.962 -3.161 4.570" Properties=species:S:1:pos:R:3 comment="Li2NpPdO8 | the Alexandria database | PBE | optimized geometry" e_tot_ev_per_atom=-6.271 pbc="T T T"
O 4.496 1.062 1.310
O 3.596 4.037 0.925
O 0.329 2.284 0.925
O 3.005 -1.341 3.260
O 0.061 1.852 3.644
O -0.061 -1.852 3.644
Pd -0.960 2.786 2.285
Li 2.922 0.375 2.285
O 2.840 2.090 3.260
Li 1.962 3.161 0.000
Np 0.000 0.000 0.000
O 1.348 -0.312 1.310


5
Lattice="-2.056 -3.895 -2.208 3.801 -3.803 3.169 -3.323 -0.301 3.625" Properties=species:S:1:pos:R:3 comment="BaTl2CBr | the Alexandria database | PBE | optimized geometry" e_tot_ev_per_atom=-3.410 pbc="T T T"
Tl -1.028 -1.948 -1.104
Tl -1.662 -0.151 1.813
Ba 1.901 -1.901 1.585
Br -0.789 -4.000 2.293
C 0.000 0.000 0.000


12
Lattice="-3.081 2.690 -1.296 -4.431 -1.336 7.758 3.779 5.853 3.166" Properties=species:S:1:pos:R:3 comment="AcInRu | the Alexandria database | PBE | optimized geometry" e_tot_ev_per_atom=-5.648 polymorph_energy_mev_per_atom=5 formation_enthalpy_0k_ev_per_fu=-0.82 pbc="T T T"
Ru -3.237 5.358 8.160
In -5.955 1.590 6.802
Ru -4.117 2.735 4.811
Ac -1.127 4.861 2.115
Ru -0.496 1.849 1.468
In 2.222 5.617 2.826
Ac -0.120 5.453 8.052
In -2.347 5.035 5.376
Ac -2.606 2.346 7.513
Ac -3.613 1.754 1.576
Ru 0.384 4.472 4.817
In -1.387 2.172 4.252


11
Lattice="4.090 0.000 0.000 0.000 7.196 0.893 -2.045 -1.212 13.063" Properties=species:S:1:pos:R:3 comment="Pr2Sm5Sb4 | the Alexandria database | PBE | optimized geometry" e_tot_ev_per_atom=-5.009 pbc="T T T"
Sm 2.045 3.946 11.322
Sm 2.045 0.458 9.558
Sm 0.000 2.037 2.635
Sb 0.000 4.931 1.404
Sm 0.000 5.525 4.399
Sm 2.045 0.000 0.000
Pr 2.045 4.806 7.634
Sb 2.045 1.052 12.553
Pr 0.000 1.177 6.323
Sb 2.045 3.171 4.851
Sb 0.000 2.812 9.105


4
Lattice="5.291 0.000 0.000 2.645 4.582 0.000 2.645 1.527 4.320" Properties=species:S:1:pos:R:3 comment="LuPaTlCd | the Alexandria database | PBE | optimized geometry" e_tot_ev_per_atom=-4.228 formation_enthalpy_0k_ev_per_fu=0.39 pbc="T T T"
Cd 7.936 4.582 3.240
Lu 0.000 0.000 0.000
Pa 5.291 3.055 2.160
Tl 2.645 1.527 1.080


10
Lattice="3.884 0.000 0.000 0.000 3.884 0.000 0.000 0.000 13.561" Properties=species:S:1:pos:R:3 comment="CePaS2N | the Alexandria database | PBE | optimized geometry" e_tot_ev_per_atom=-8.289 pbc="T T T"
Ce 0.000 1.942 12.137
Pa 0.000 1.942 5.560
Ce 1.942 0.000 1.424
S 1.942 0.000 4.264
S 0.000 1.942 1.498
S 0.000 1.942 9.297
S 1.942 0.000 12.063
Pa 1.942 0.000 8.001
N 0.000 0.000 6.780
N 1.942 1.942 6.780


5
Lattice="4.724 0.000 0.000 0.000 4.724 0.000 0.000 0.000 4.724" Properties=species:S:1:pos:R:3 comment="KAlO3 | the Alexandria database | PBE | optimized geometry" e_tot_ev_per_atom=-3.121 pbc="T T T"
O 2.362 2.362 0.000
O 2.362 0.000 2.362
O 0.000 2.362 2.362
K 2.362 2.362 2.362
Al 0.000 0.000 0.000


5
Lattice="5.071 0.000 0.000 0.000 5.071 0.000 0.000 0.000 5.071" Properties=species:S:1:pos:R:3 comment="Cd3FePb | the Alexandria database | PBE | optimized geometry" e_tot_ev_per_atom=-2.527 polymorph_energy_mev_per_atom=0 formation_enthalpy_0k_ev_per_fu=2.28 pbc="T T T"
Cd 2.535 0.000 0.000
Cd 0.000 0.000 2.535
Pb 2.535 2.535 2.535
Fe 0.000 0.000 0.000
Cd 0.000 2.535 0.000


10
Lattice="5.250 0.000 2.532 2.625 6.521 1.266 -0.208 0.000 7.139" Properties=species:S:1:pos:R:3 comment="PuTh4P5 | the Alexandria database | PBE | optimized geometry" e_tot_ev_per_atom=-8.590 formation_enthalpy_0k_ev_per_fu=-14.84 pbc="T T T"
Th 6.175 5.213 7.335
Th 4.687 3.924 3.712
P 2.070 3.944 2.428
Th 1.502 1.308 3.607
Th 2.990 2.597 7.230
P 4.135 1.288 4.856
Pu 0.007 0.000 0.003
P 2.632 0.000 1.269
P 5.606 2.577 8.514
P 3.541 5.233 6.087


10
Lattice="-4.443 9.981 -1.816 -9.576 -3.472 4.348 0.949 0.939 2.840" Properties=species:S:1:pos:R:3 comment="Rb2In2Tc | the Alexandria database | PBE | optimized geometry" e_tot_ev_per_atom=-2.506 polymorph_energy_mev_per_atom=79 formation_enthalpy_0k_ev_per_fu=5.25 pbc="T T T"
Rb -10.245 5.588 1.576
In -7.403 8.086 1.534
In -2.243 4.161 1.107
Rb -9.029 0.233 2.940
Tc -7.010 3.255 1.266
Rb -3.774 0.921 0.957
Tc 0.000 0.000 0.000
In -5.667 -0.638 3.838
Rb -4.990 6.276 -0.408
In -10.828 3.287 4.265


20
Lattice="-4.165 -5.374 1.501 6.436 -6.337 -4.825 4.436 -1.307 7.633" Properties=species:S:1:pos:R:3 comment="AcSn3Pb | the Alexandria database | PBE | optimized geometry" e_tot_ev_per_atom=-4.240 formation_enthalpy_0k_ev_per_fu=-1.38 pbc="T T T"
Pb 0.135 -3.340 4.567
Ac 1.824 -6.801 4.938
Pb 3.218 -3.168 -2.413
Sn 4.355 -8.947 -2.551
Sn 2.352 -4.070 6.860
Sn -1.175 -5.592 0.940
Sn 0.308 -8.326 2.101
Sn 6.398 -4.691 2.207
Sn 2.070 -6.054 1.467
Pb 1.135 -5.855 -1.662
Sn 4.637 -6.964 2.842
Sn 3.479 -3.907 3.741
Ac 1.101 -2.882 0.813
Sn 4.113 -1.798 6.225
Pb 2.218 -0.653 3.816
Ac 4.883 -6.216 -0.630
Sn 2.594 -11.219 -1.917
Sn 7.882 -7.425 3.368
Sn 3.228 -9.110 0.567
Ac 5.606 -10.136 3.496


6
Lattice="6.130 0.000 0.000 3.065 5.309 0.000 3.065 1.770 5.005" Properties=species:S:1:pos:R:3 comment="CeHg4Bi | the Alexandria database | PBE | optimized geometry" e_tot_ev_per_atom=-1.928 formation_enthalpy_0k_ev_per_fu=-0.54 pbc="T T T"
Bi 0.000 0.000 0.000
Hg 6.130 3.539 0.621
Hg 7.667 4.427 3.130
Ce 3.065 1.770 1.251
Hg 6.130 1.765 3.130
Hg 4.594 4.427 3.130


6
Lattice="-2.290 -4.837 3.703 -6.308 -0.174 1.589 -3.886 -4.527 -2.599" Properties=species:S:1:pos:R:3 comment="LiInPb4 | the Alexandria database | PBE | optimized geometry" e_tot_ev_per_atom=-3.166 polymorph_energy_mev_per_atom=95 formation_enthalpy_0k_ev_per_fu=0.49 pbc="T T T"
Pb -4.680 -3.575 1.010
Pb -6.626 -5.842 -0.292
In -9.364 -7.153 2.020
Pb -7.838 -3.662 1.805
Li 0.000 0.000 0.000
Pb -5.827 -5.997 2.864


5
Lattice="4.953 0.000 0.000 0.000 4.953 0.000 0.000 0.000 4.953" Properties=species:S:1:pos:R:3 comment="Th3AuN | the Alexandria database | PBE | optimized geometry" e_tot_ev_per_atom=-7.518 pbc="T T T"
Th 2.477 0.000 0.000
Th 0.000 0.000 2.477
N 0.000 0.000 0.000
Th 0.000 2.477 0.000
Au 2.477 2.477 2.477


8
Lattice="4.732 0.000 0.000 0.000 5.242 0.072 0.000 -1.050 7.362" Properties=species:S:1:pos:R:3 comment="ThCd2Cu | the Alexandria database | PBE | optimized geometry" e_tot_ev_per_atom=-3.411 formation_enthalpy_0k_ev_per_fu=-0.30 pbc="T T T"
Cu 3.549 1.476 2.994
Th 3.549 1.573 5.994
Cu 1.183 2.717 4.440
Cd 1.183 0.207 3.748
Cd 3.549 -0.048 0.827
Th 1.183 2.620 1.440
Cd 1.183 4.241 6.608
Cd 3.549 3.986 3.686


5
Lattice="-3.863 1.842 2.104 2.019 -0.754 4.365 1.978 4.337 -0.166" Properties=species:S:1:pos:R:3 comment="HfSeS2Cl | the Alexandria database | PBE | optimized geometry" e_tot_ev_per_atom=-4.163 polymorph_energy_mev_per_atom=977 pbc="T T T"
Cl 1.009 -0.377 2.183
S -1.932 0.921 1.052
S 0.989 2.168 -0.083
Hf 0.067 2.713 3.152
Se 0.000 0.000 0.000


5
Lattice="4.777 0.000 0.000 0.000 4.777 0.000 0.000 0.000 4.777" Properties=species:S:1:pos:R:3 comment="SrMo3Br | the Alexandria database | PBE | optimized geometry" e_tot_ev_per_atom=-5.757 pbc="T T T"
Mo 2.388 0.000 0.000
Mo 0.000 0.000 2.388
Br 0.000 0.000 0.000
Mo 0.000 2.388 0.000
Sr 2.388 2.388 2.388


Magnetization readings, ordered: 1.79, 0.00, 0.00, 0.00, 5.05, 0.00, 0.00, 0.02, 1.30, 0.94, 4.00, 2.13, 5.36, 3.77, 0.00, 1.10, 0.00, 0.00, 0.00, 1.29, 0.00 μB/f.u.